Ni2Hg2PtO6: optimized geometry, PBE+U.

Electronic total energy, eV per atom: -4.391
D(E_F), states/eV per cell: 0.71
Total moment, Bohr magnetons per cell: 8.0

Unit cell a=5.404 b=9.311 c=5.930 alpha=90.00 beta=91.39 gamma=90.00
Space group C2/m (No. 12)
Unique sites:
Ni 0.000 0.157 0.000
Hg 0.000 0.336 0.500
Pt 0.000 0.500 0.000
O 0.153 0.334 0.179
O 0.184 0.000 0.181